Record 1
Here is SrSiGe2 after structural relaxation from the Alexandria database. Energies are from GGA-PBE.

a = 4.439 Å, b = 4.439 Å, c = 6.060 Å
α = 68.52°, β = 68.52°, γ = 60.00°
Element x y z (fractional)
Si  0.000  0.000  0.000
Ge  0.290  0.290  0.129
Ge  0.710  0.710  0.871
Sr  0.500  0.500  0.500

Results
* total DFT energy (no corrections): -17.02 eV for the cell shown
* formation energy without anion corrections: -0.169 eV per atom

=====

Record 2
Here is SrCoW after structural relaxation from the Alexandria database. Energies are from GGA-PBE.

a = 10.710 Å, b = 8.548 Å, c = 5.180 Å
α = 90.00°, β = 90.00°, γ = 90.00°
Element x y z (fractional)
W  0.801  0.500  0.500
Co  0.750  0.250  0.222
Sr  0.000  0.670  0.988
Sr  0.500  0.670  0.488
Co  0.250  0.250  0.222
Sr  0.500  0.170  0.988
Co  0.750  0.250  0.722
Co  0.250  0.250  0.722
W  0.699  0.500  0.000
Sr  0.000  0.330  0.988
Co  0.250  0.750  0.722
W  0.801  0.000  0.000
Sr  0.000  0.170  0.488
W  0.199  0.500  0.500
Co  0.750  0.750  0.722
Sr  0.000  0.830  0.488
Sr  0.500  0.330  0.488
Co  0.250  0.750  0.222
W  0.699  0.000  0.500
W  0.301  0.500  0.000
Co  0.750  0.750  0.222
W  0.301  0.000  0.500
W  0.199  0.000  0.000
Sr  0.500  0.830  0.988

Results
* total DFT energy (no corrections): -158.76 eV for the cell shown
* energy of formation: 183 kJ/mol of formula units

=====

Record 3
Here is ReSiP2S after structural relaxation from the Alexandria database. Energies are from GGA-PBE.

a = 4.392 Å, b = 4.392 Å, c = 4.357 Å
α = 90.00°, β = 90.00°, γ = 90.00°
Each line ends with the local moment (μB).
Element x y z (fractional)
P  0.000  0.500  0.000  -0.10
Re  0.500  0.500  0.500  1.90
Si  0.000  0.000  0.000  -0.01
P  0.500  0.000  0.000  -0.10
S  0.000  0.000  0.500  -0.10

Results
* total DFT energy (no corrections): -26.80 eV for the cell shown
* formation energy without anion corrections: 1.204 eV per atom

=====

Record 4
Here is ErPaPd2 after structural relaxation from the Alexandria database. Energies are from GGA-PBE.

a = 4.959 Å, b = 4.959 Å, c = 4.959 Å
α = 60.00°, β = 60.00°, γ = 60.00°
Each line ends with the local moment (μB).
Element x y z (fractional)
Pa  0.000  0.000  0.000  0.65
Er  0.500  0.500  0.500  0.10
Pd  0.250  0.250  0.250  -0.02
Pd  0.750  0.750  0.750  -0.02

Results
* total DFT energy (no corrections): -26.72 eV for the cell shown
* energy of formation: -219 kJ/mol of formula units

=====

Record 5
Here is Ac3GaPd12 after structural relaxation from the Alexandria database. Energies are from GGA-PBE.

a = 4.290 Å, b = 4.290 Å, c = 16.388 Å
α = 90.00°, β = 90.00°, γ = 90.00°
Element x y z (fractional)
Pd  0.000  0.500  0.898
Ga  0.000  0.000  0.000
Ac  0.000  0.000  0.764
Pd  0.500  0.000  0.102
Pd  0.000  0.500  0.632
Pd  0.000  0.500  0.102
Pd  0.500  0.500  0.500
Pd  0.500  0.500  0.765
Pd  0.500  0.500  0.000
Ac  0.000  0.000  0.500
Pd  0.000  0.500  0.368
Pd  0.500  0.000  0.368
Pd  0.500  0.000  0.632
Pd  0.500  0.000  0.898
Pd  0.500  0.500  0.235
Ac  0.000  0.000  0.236

Results
* total DFT energy (no corrections): -88.02 eV for the cell shown
* energy of formation: -999 kJ/mol of formula units

=====

Record 6
Here is Tb3Er3In after structural relaxation from the Alexandria database. Energies are from GGA-PBE.

a = 5.516 Å, b = 9.352 Å, c = 9.351 Å
α = 120.03°, β = 90.00°, γ = 90.00°
Element x y z (fractional)
Tb  0.750  0.479  0.373
Er  0.250  0.938  0.760
Tb  0.750  0.627  0.105
In  0.250  0.667  0.333
Er  0.750  0.062  0.240
Tb  0.750  0.895  0.521
Er  0.750  0.178  0.938
Er  0.250  0.240  0.178
Tb  0.250  0.521  0.627
Er  0.750  0.760  0.822
Tb  0.250  0.105  0.479
Tb  0.250  0.373  0.895
In  0.750  0.333  0.667
Er  0.250  0.822  0.062

Results
* total DFT energy (no corrections): -62.24 eV for the cell shown
* energy of formation: -77 kJ/mol of formula units

=====

Record 7
Here is SrAl2Zn3 after structural relaxation from the Alexandria database. Energies are from GGA-PBE.

a = 5.619 Å, b = 6.617 Å, c = 6.617 Å
α = 100.76°, β = 90.00°, γ = 90.00°
Element x y z (fractional)
Zn  0.750  0.454  0.123
Al  0.000  0.213  0.787
Sr  0.250  0.325  0.325
Al  0.500  0.787  0.213
Sr  0.750  0.675  0.675
Zn  0.750  0.123  0.454
Al  0.000  0.787  0.213
Zn  0.250  0.934  0.934
Al  0.500  0.213  0.787
Zn  0.750  0.066  0.066
Zn  0.250  0.877  0.546
Zn  0.250  0.546  0.877

Results
* total DFT energy (no corrections): -28.35 eV for the cell shown
* energy of formation: -114 kJ/mol of formula units

=====

Record 8
Here is Ca3Pr2Sm2 after structural relaxation from the Alexandria database. Energies are from GGA-PBE.

a = 3.670 Å, b = 5.758 Å, c = 12.950 Å
α = 77.16°, β = 90.00°, γ = 90.00°
Element x y z (fractional)
Ca  0.500  0.576  0.848
Ca  0.000  0.000  0.000
Pr  0.500  0.717  0.566
Ca  0.500  0.424  0.152
Pr  0.500  0.283  0.434
Sm  0.000  0.156  0.688
Sm  0.000  0.844  0.312

Results
* total DFT energy (no corrections): -24.59 eV for the cell shown
* energy of formation: 39 kJ/mol of formula units

=====

Record 9
Here is Sm2PuPaSe4 after structural relaxation from the Alexandria database. Energies are from GGA-PBE.

a = 4.106 Å, b = 7.163 Å, c = 7.205 Å
α = 109.12°, β = 90.00°, γ = 90.00°
Each line ends with the local moment (μB).
Element x y z (fractional)
Se  0.000  0.252  0.754  -0.02
Pu  0.000  0.000  0.000  5.44
Pa  0.500  0.500  0.000  0.85
Sm  0.000  0.500  0.500  -0.03
Se  0.500  0.250  0.246  -0.03
Se  0.000  0.748  0.246  -0.02
Se  0.500  0.750  0.754  -0.03
Sm  0.500  0.000  0.500  0.01

Results
* total DFT energy (no corrections): -59.90 eV for the cell shown
* formation energy without anion corrections: -1.587 eV per atom

=====

Record 10
Here is KCuSb2S4 after structural relaxation from the Alexandria database. Energies are from GGA-PBE.

a = 3.981 Å, b = 7.051 Å, c = 14.134 Å
α = 90.00°, β = 90.00°, γ = 106.40°
Element x y z (fractional)
S  0.262  0.525  0.391
S  0.578  0.155  0.250
K  0.894  0.788  0.250
K  0.106  0.212  0.750
Sb  0.366  0.732  0.941
Cu  0.841  0.682  0.750
S  0.738  0.475  0.891
S  0.262  0.525  0.109
Sb  0.634  0.268  0.441
Sb  0.634  0.268  0.059
S  0.738  0.475  0.609
S  0.422  0.845  0.750
S  0.000  0.000  0.500
Sb  0.366  0.732  0.559
Cu  0.159  0.318  0.250
S  0.000  0.000  0.000

Results
* total DFT energy (no corrections): -67.20 eV for the cell shown
* formation energy without anion corrections: -0.457 eV per atom

=====

Record 11
Here is RbFeOs2 after structural relaxation from the Alexandria database. Energies are from GGA-PBE.

a = 4.908 Å, b = 4.908 Å, c = 9.171 Å
α = 74.48°, β = 74.48°, γ = 90.00°
Each line ends with the local moment (μB).
Element x y z (fractional)
Rb  0.750  0.250  0.500  0.00
Os  0.399  0.625  0.250  0.48
Rb  0.000  0.000  0.000  0.00
Os  0.351  0.125  0.250  0.44
Os  0.875  0.601  0.750  0.46
Fe  0.250  0.750  0.500  2.52
Fe  0.500  0.500  0.000  2.52
Os  0.375  0.649  0.750  0.35

Results
* total DFT energy (no corrections): -50.74 eV for the cell shown
* energy of formation: 629 kJ/mol of formula units

=====

Record 12
Here is LaAg2 after structural relaxation from the Alexandria database. Energies are from GGA-PBE.

a = 5.090 Å, b = 5.090 Å, c = 5.090 Å
α = 60.00°, β = 60.00°, γ = 60.00°
Element x y z (fractional)
Ag  0.750  0.750  0.750
La  0.000  0.000  0.000
Ag  0.250  0.250  0.250

Results
* total DFT energy (no corrections): -10.17 eV for the cell shown
* energy of formation: 44 kJ/mol of formula units